No. 1
## K2PdBr5 (PBE)

Data for a relaxed structure of K2PdBr5.

Its uncorrected energy is -47.22 eV/cell. The density of states at the Fermi level is 0.308 states/eV/atom. The energy relative to the elements, uncorrected comes out at -982 meV/atom.

The structure belongs to space group I4mm (No. 107); the cell edges are 7.702, 7.702 and 9.317 Å and the angles 90.00°, 90.00° and 90.00°. Symmetry generates all atoms from K at (0.000, 0.500, 0.000), Pd at (0.000, 0.000, 0.232), Br at (0.000, 0.000, 0.954) and Br at (0.228, 0.228, 0.255).

No. 2
## USiB (PBE)

Data for a relaxed structure of USiB.

The polymorph energy (0 for the lowest one) is 0.00 eV per formula unit. Its uncorrected energy is -24.51 eV/cell. The density of states at the Fermi level is 1.807 states/eV/atom. The energy relative to the elements, uncorrected comes out at -373 meV/atom.

The structure belongs to space group P-6m2 (No. 187); the cell edges are 3.4883, 3.4883 and 4.1598 Å and the angles 90.00°, 90.00° and 120.00°. Symmetry generates all atoms from U at (0.0000, 0.0000, 0.0000), Si at (0.6667, 0.3333, 0.5000) and B at (0.3333, 0.6667, 0.5000).